No. 1
Entry from the Alexandria database: crystalline Rb3Y2HoO6 at its relaxed geometry (PBE).

Structure (CIF):
```
data_Rb3Y2HoO6
_chemical_formula_sum 'Rb6 Y4 Ho2 O12'
_cell_length_a 6.0794
_cell_length_b 10.5299
_cell_length_c 6.8675
_cell_angle_alpha 90.00
_cell_angle_beta 107.17
_cell_angle_gamma 90.00
_space_group_name_H-M_alt 'C 1 2/m 1'
_space_group_IT_number 12
_space_group_name_Hall '-C 2y'
loop_
_atom_site_label
_atom_site_type_symbol
_atom_site_fract_x
_atom_site_fract_y
_atom_site_fract_z
Rb1 Rb 0.0000 0.0000 0.0000
Rb2 Rb 0.0000 0.3334 0.0000
Y1 Y 0.0000 0.1667 0.5000
Ho1 Ho 0.0000 0.5000 0.5000
O1 O 0.2242 0.3343 0.6755
O2 O 0.2272 0.0000 0.6755
```



No. 2
Entry from the Alexandria database: crystalline Rb2HoZn2O4 at its relaxed geometry (PBE).

Structure (CIF):
```
data_Rb2HoZn2O4
_chemical_formula_sum 'Rb4 Ho2 Zn4 O8'
_cell_length_a 14.3593
_cell_length_b 3.3896
_cell_length_c 6.9253
_cell_angle_alpha 90.00
_cell_angle_beta 109.31
_cell_angle_gamma 90.00
_space_group_name_H-M_alt 'C 1 2/m 1'
_space_group_IT_number 12
_space_group_name_Hall '-C 2y'
loop_
_atom_site_label
_atom_site_type_symbol
_atom_site_fract_x
_atom_site_fract_y
_atom_site_fract_z
Rb1 Rb 0.1269 0.0000 0.0541
Ho1 Ho 0.0000 0.0000 0.5000
Zn1 Zn 0.1808 0.5000 0.5344
O1 O 0.0413 0.5000 0.3212
O2 O 0.1688 0.0000 0.6893
```



No. 3
Entry from the Alexandria database: crystalline RbHo2Zr2O7 at its relaxed geometry (PBE).

Structure (CIF):
```
data_RbHo2Zr2O7
_chemical_formula_sum 'Rb2 Ho4 Zr4 O14'
_cell_length_a 4.3444
_cell_length_b 4.5104
_cell_length_c 18.5076
_cell_angle_alpha 90.00
_cell_angle_beta 90.00
_cell_angle_gamma 90.00
_space_group_name_H-M_alt 'I m m m'
_space_group_IT_number 71
_space_group_name_Hall '-I 2 2'
loop_
_atom_site_label
_atom_site_type_symbol
_atom_site_fract_x
_atom_site_fract_y
_atom_site_fract_z
Rb1 Rb 0.0000 0.0000 0.0000
Ho1 Ho 0.0000 0.5000 0.2591
Zr1 Zr 0.0000 0.0000 0.3906
O1 O 0.0000 0.0000 0.2677
O2 O 0.0000 0.0000 0.5000
O3 O 0.0000 0.5000 0.1297
O4 O 0.0000 0.5000 0.3797
```



No. 4
Entry from the Alexandria database: crystalline HoReO6 at its relaxed geometry (PBE).

Structure (CIF):
```
data_HoReO6
_chemical_formula_sum 'Ho2 Re2 O12'
_cell_length_a 5.6335
_cell_length_b 6.5878
_cell_length_c 5.0254
_cell_angle_alpha 90.00
_cell_angle_beta 99.32
_cell_angle_gamma 90.00
_space_group_name_H-M_alt 'C 1 2/m 1'
_space_group_IT_number 12
_space_group_name_Hall '-C 2y'
loop_
_atom_site_label
_atom_site_type_symbol
_atom_site_fract_x
_atom_site_fract_y
_atom_site_fract_z
Ho1 Ho 0.0000 0.0000 0.0000
Re1 Re 0.0000 0.5000 0.5000
O1 O 0.1425 0.3097 0.7612
O2 O 0.2182 0.0000 0.6594
```



Number 1: E_tot -164.84 eV per cell. Number 2: E_tot -89.19 eV per cell. Number 3: E_tot -195.86 eV per cell. Number 4: E_tot -119.52 eV per cell.